DFT (PBE) results for an optimized crystal structure of Ta4Cr5.

crystal system = tetragonal
energy above the lowest structure with this stoichiometry = 0.00 eV/f.u.
DFT total energy = -189.36 eV/cell
E_form = 0.8 eV per formula unit

CIF file:
```
data_Ta4Cr5
_chemical_formula_sum 'Ta8 Cr10'
_symmetry_space_group_name_H-M 'I 4/m m m'
_symmetry_Int_Tables_number 139
_symmetry_space_group_name_Hall '-I 4 2'
_cell_length_a 9.2226
_cell_length_b 9.2226
_cell_length_c 3.1034
_cell_angle_alpha 90.00
_cell_angle_beta 90.00
_cell_angle_gamma 90.00
loop_
_atom_site_label
_atom_site_type_symbol
_atom_site_fract_x
_atom_site_fract_y
_atom_site_fract_z
_atom_site_occupancy
Ta1 Ta 0.0000 0.3170 0.0000 1
Cr1 Cr 0.0000 0.0000 0.0000 1
Cr2 Cr 0.1639 0.1639 0.5000 1
```

DFT (PBE) results for an optimized crystal structure of YHoEr.

crystal system = tetragonal
energy above the lowest structure with this stoichiometry = 0.00 eV/f.u.
DFT total energy = -31.06 eV/cell
E_form = 0.1 eV per formula unit

CIF file:
```
data_YHoEr
_chemical_formula_sum 'Y2 Ho2 Er2'
_symmetry_space_group_name_H-M 'I 4 m m'
_symmetry_Int_Tables_number 107
_symmetry_space_group_name_Hall 'I 4 -2'
_cell_length_a 3.5294
_cell_length_b 3.5294
_cell_length_c 15.0452
_cell_angle_alpha 90.00
_cell_angle_beta 90.00
_cell_angle_gamma 90.00
loop_
_atom_site_label
_atom_site_type_symbol
_atom_site_fract_x
_atom_site_fract_y
_atom_site_fract_z
_atom_site_occupancy
Y1 Y 0.0000 0.0000 0.0000 1
Ho1 Ho 0.0000 0.0000 0.6681 1
Er1 Er 0.0000 0.0000 0.3325 1
```

DFT (PBE) results for an optimized crystal structure of CeNd5Sn4.

crystal system = orthorhombic
DFT total energy = -97.60 eV/cell
E_form = -3.0 eV per formula unit

CIF file:
```
data_CeNd5Sn4
_chemical_formula_sum 'Ce2 Nd10 Sn8'
_symmetry_space_group_name_H-M 'P m m n'
_symmetry_Int_Tables_number 59
_cell_length_a 8.4190
_cell_length_b 10.3175
_cell_length_c 8.2590
_cell_angle_alpha 90.00
_cell_angle_beta 90.00
_cell_angle_gamma 90.00
loop_
_symmetry_equiv_pos_as_xyz
'x,y,z'
'-x,-y,-z'
'-x+1/2,-y+1/2,z'
'x+1/2,y+1/2,-z'
'x+1/2,-y,-z'
'-x+1/2,y,z'
'-x,y+1/2,-z'
'x,-y+1/2,z'
loop_
_atom_site_label
_atom_site_type_symbol
_atom_site_fract_x
_atom_site_fract_y
_atom_site_fract_z
_atom_site_occupancy
Ce1 Ce 0.2500 0.2500 0.0837 1
Nd1 Nd 0.0119 0.5503 0.2732 1
Nd2 Nd 0.2500 0.7500 0.6901 1
Sn1 Sn 0.0827 0.2500 0.4415 1
Sn2 Sn 0.2500 0.5519 0.9770 1
```

DFT (PBE) results for an optimized crystal structure of Dy2HAu.

crystal system = triclinic
energy above the lowest structure with this stoichiometry = 0.00 eV/f.u.
DFT total energy = -37.07 eV/cell

CIF file:
```
data_Dy2HAu
_chemical_formula_sum 'Dy4 H2 Au2'
_symmetry_space_group_name_H-M 'P -1'
_symmetry_Int_Tables_number 2
_symmetry_space_group_name_Hall '-P 1'
_cell_length_a 3.7525
_cell_length_b 6.8102
_cell_length_c 7.2669
_cell_angle_alpha 111.03
_cell_angle_beta 104.91
_cell_angle_gamma 90.07
loop_
_atom_site_label
_atom_site_type_symbol
_atom_site_fract_x
_atom_site_fract_y
_atom_site_fract_z
_atom_site_occupancy
Dy1 Dy 0.0185 0.2733 0.0371 1
Dy2 Dy 0.2958 0.2801 0.5924 1
H1 H 0.1133 0.6138 0.2258 1
Au1 Au 0.3782 0.9195 0.7559 1
```

Let's list size of the total moment in order: 0.0, 0.0, 1.1, 0.0 μB per formula unit.